# 1
Material: Sc2TaMo
Method: DFT, PBE
State: optimized geometry

- size of the total moment (μB/cell) = 0.00
- DOS(E_F) (states/eV/f.u.) = 4.793
- space-group type = R3m, No. 160
- calculated volume (A^3/atom) = 20.64
- DFT formation energy (meV per atom) = 185.2

Structure (POSCAR):
```
Sc2TaMo
1.0
1.594 0.920 9.383
-1.594 0.920 9.383
0.000 -1.840 9.383
Sc Ta Mo
2 1 1
Cartesian
0.000 0.000 0.000
0.000 0.000 6.440
0.000 0.000 21.176
0.000 0.000 13.668
```

# 2
Material: Sc2TaMo
Method: DFT, PBE
State: optimized geometry

- size of the total moment (μB/cell) = 0.00
- DOS(E_F) (states/eV/f.u.) = 4.727
- space-group type = Pm, No. 6
- calculated volume (A^3/atom) = 19.68
- DFT formation energy (meV per atom) = 110.1

Structure (POSCAR):
```
Sc2TaMo
1.0
2.990 0.000 0.000
0.000 4.556 0.000
-1.225 0.000 5.777
Sc Ta Mo
2 1 1
Cartesian
0.000 0.000 0.000
-0.027 2.278 4.087
1.672 2.278 1.455
0.975 0.000 2.678
```

# 3
Material: Sc2TaMo
Method: DFT, PBE
State: optimized geometry

- size of the total moment (μB/cell) = 0.00
- DOS(E_F) (states/eV/f.u.) = 4.694
- space-group type = R-3m, No. 166
- calculated volume (A^3/atom) = 19.44
- DFT formation energy (meV per atom) = 293.3

Structure (POSCAR):
```
Sc2TaMo
1.0
1.509 0.871 9.852
-1.509 0.871 9.852
0.000 -1.743 9.852
Sc Ta Mo
2 1 1
Cartesian
0.000 0.000 7.314
0.000 0.000 22.241
0.000 0.000 0.000
0.000 0.000 14.778
```

# 4
Material: Sc2TaMo
Method: DFT, PBE
State: optimized geometry

- size of the total moment (μB/cell) = 0.00
- DOS(E_F) (states/eV/f.u.) = 4.537
- space-group type = F-43m, No. 216
- calculated volume (A^3/atom) = 19.16
- DFT formation energy (meV per atom) = 121.3

Structure (POSCAR):
```
Sc2TaMo
1.0
0.000 3.372 3.372
3.372 0.000 3.372
3.372 3.372 0.000
Sc Ta Mo
2 1 1
Cartesian
0.000 0.000 0.000
1.686 1.686 1.686
5.057 5.057 5.057
3.372 3.372 3.372
```

# 5
Material: ScTa4Mo
Method: DFT, PBE
State: optimized geometry

- size of the total moment (μB/cell) = 0.00
- DOS(E_F) (states/eV/f.u.) = 11.508
- space-group type = F-43m, No. 216
- calculated volume (A^3/atom) = 19.21
- DFT formation energy (meV per atom) = 276.6

Structure (POSCAR):
```
ScTa4Mo
1.0
0.000 3.863 3.863
3.863 0.000 3.863
3.863 3.863 0.000
Sc Ta Mo
1 4 1
Cartesian
0.000 0.000 0.000
4.830 2.895 2.895
2.895 4.830 2.895
2.895 2.895 4.830
4.830 4.830 4.830
1.931 1.931 1.931
```

# 6
Material: Sc2TaMo
Method: DFT, PBE
State: optimized geometry

- size of the total moment (μB/cell) = 0.00
- DOS(E_F) (states/eV/f.u.) = 4.017
- space-group type = Imm2, No. 44
- calculated volume (A^3/atom) = 20.01
- DFT formation energy (meV per atom) = 78.0

Structure (POSCAR):
```
Sc2TaMo
1.0
-1.707 2.479 4.728
1.707 -2.479 4.728
1.707 2.479 -4.728
Sc Ta Mo
2 1 1
Cartesian
0.000 0.000 0.000
0.000 2.479 2.082
1.707 0.000 2.617
0.000 0.000 4.482
```